# 1
! Ca2CoMo2, single point on PBEsol structure, DFT SCAN; values from VASP
! Symmetry: I4/mmm
! Total magnetic moment in μB per cell: 0.1
! Formation enthalpy at 0 K in eV/f.u.: 6.13
&SYSTEM
  ibrav = 0, nat = 5, ntyp = 3
/
ATOMIC_SPECIES
Ca 40.08 Ca.upf
Co 58.93 Co.upf
Mo 95.94 Mo.upf
CELL_PARAMETERS angstrom
-2.937 2.937 3.377
2.937 -2.937 3.377
2.937 2.937 -3.377
ATOMIC_POSITIONS crystal
Ca 0.250 0.750 0.500
Ca 0.750 0.250 0.500
Co 0.000 0.000 0.000
Mo 0.347 0.347 0.000
Mo 0.653 0.653 0.000

# 2
! CdNi2Bi2, single point on PBEsol structure, DFT SCAN; values from VASP
! Symmetry: I4/mmm
! Total magnetic moment in μB per cell: 0.0
! Formation enthalpy at 0 K in eV/f.u.: 1.03
&SYSTEM
  ibrav = 0, nat = 5, ntyp = 3
/
ATOMIC_SPECIES
Cd 112.41 Cd.upf
Ni 58.69 Ni.upf
Bi 208.98 Bi.upf
CELL_PARAMETERS angstrom
-1.750 1.750 8.566
1.750 -1.750 8.566
1.750 1.750 -8.566
ATOMIC_POSITIONS crystal
Cd 0.000 0.000 0.000
Ni 0.250 0.750 0.500
Ni 0.750 0.250 0.500
Bi 0.366 0.366 0.000
Bi 0.634 0.634 0.000

# 3
! SrMgRe, single point on PBEsol structure, DFT SCAN; values from VASP
! Energy relative to the lowest polymorph listed for this composition in eV/f.u.: 0.22
! Symmetry: P3m1
! Total magnetic moment in μB per cell: 0.0
! Formation enthalpy at 0 K in eV/f.u.: 2.55
&SYSTEM
  ibrav = 0, nat = 3, ntyp = 3
/
ATOMIC_SPECIES
Sr 87.62 Sr.upf
Mg 24.30 Mg.upf
Re 186.21 Re.upf
CELL_PARAMETERS angstrom
5.085 0.000 0.000
-2.542 4.403 0.000
0.000 0.000 2.809
ATOMIC_POSITIONS crystal
Sr 0.000 0.000 0.000
Mg 0.333 0.667 0.426
Re 0.667 0.333 0.543